No. 1
DFT (PBE) results for an optimized crystal structure of ZrScMn2.

Lattice parameters (Å, degrees): 5.580 5.580 5.580 147.68 133.22 58.00
Positions (direct):
Zr 0.000 0.000 0.000
Sc 0.279 0.779 0.500
Mn 0.537 0.537 0.000
Mn 0.717 0.217 0.500

## Properties
* E_form: 0.2 eV/f.u.
* space group: Imm2 (44)

=====

No. 2
DFT (PBE) results for an optimized crystal structure of Zr2Sc2Mn.

Lattice parameters (Å, degrees): 6.506 6.506 5.004 90.00 90.00 90.00
Positions (direct):
Zr 0.163 0.337 0.000
Zr 0.337 0.837 0.000
Zr 0.663 0.163 0.000
Zr 0.837 0.663 0.000
Sc 0.155 0.655 0.500
Sc 0.345 0.155 0.500
Sc 0.655 0.845 0.500
Sc 0.845 0.345 0.500
Mn 0.000 0.000 0.500
Mn 0.500 0.500 0.500

## Properties
* E_form: 1.5 eV/f.u.
* space group: P4/mbm (127)
* energy relative to the lowest polymorph listed for this composition: 116 meV per atom

=====

No. 3
DFT (PBE) results for an optimized crystal structure of ZrScMn.

Lattice parameters (Å, degrees): 6.159 6.159 6.159 150.11 150.11 42.78
Positions (direct):
Zr 0.000 0.000 0.000
Sc 0.263 0.263 0.000
Mn 0.625 0.625 0.000

## Properties
* E_form: 0.0 eV/f.u.
* space group: I4mm (107)
* energy relative to the lowest polymorph listed for this composition: 0 meV per atom

=====

No. 4
DFT (PBE) results for an optimized crystal structure of ZrScMn2.

Lattice parameters (Å, degrees): 5.302 5.302 4.819 104.77 104.77 32.94
Positions (direct):
Zr 0.000 0.000 0.000
Sc 0.785 0.785 0.349
Mn 0.240 0.240 0.816
Mn 0.538 0.538 0.521

## Properties
* E_form: 0.5 eV/f.u.
* space group: Cm (8)

=====

No. 5
DFT (PBE) results for an optimized crystal structure of ZrScMn.

Lattice parameters (Å, degrees): 5.698 5.698 8.044 90.00 90.00 116.89
Positions (direct):
Zr 0.145 0.855 0.911
Zr 0.355 0.645 0.411
Zr 0.645 0.355 0.589
Zr 0.855 0.145 0.089
Sc 0.147 0.353 0.750
Sc 0.353 0.147 0.250
Sc 0.647 0.853 0.750
Sc 0.853 0.647 0.250
Mn 0.115 0.885 0.573
Mn 0.385 0.615 0.073
Mn 0.615 0.385 0.927
Mn 0.885 0.115 0.427

## Properties
* E_form: 0.2 eV/f.u.
* space group: Cmce (64)
* energy relative to the lowest polymorph listed for this composition: 51 meV per atom

=====

No. 6
DFT (PBE) results for an optimized crystal structure of ZrSc3Mn8.

Lattice parameters (Å, degrees): 8.431 8.431 8.431 34.29 34.29 34.29
Positions (direct):
Zr 0.000 0.000 0.000
Sc 0.376 0.376 0.376
Sc 0.500 0.500 0.500
Sc 0.874 0.874 0.874
Mn 0.187 0.187 0.187
Mn 0.438 0.438 0.937
Mn 0.438 0.937 0.438
Mn 0.439 0.937 0.937
Mn 0.688 0.688 0.688
Mn 0.937 0.438 0.438
Mn 0.937 0.439 0.937
Mn 0.937 0.937 0.439

## Properties
* E_form: -1.7 eV/f.u.
* space group: R3m (160)